[1]
Density functional theory data (PBE) for a geometry-optimized HfMnHPt2 structure.

Output
Total DFT energy (no corrections): -7.3998 eV/atom

abc: 3.978 3.978 4.120
angles: 90.00 90.00 90.00
Site moments in Bohr magnetons follow the coordinates.
Element x y z (fractional)
H 0.000 0.000 0.000  -0.01
Mn 0.000 0.000 0.500  2.38
Hf 0.500 0.500 0.500  -0.37
Pt 0.000 0.500 0.000  0.04
Pt 0.500 0.000 0.000  0.04


[2]
Density functional theory data (PBE) for a geometry-optimized BiHI structure.

Output
Total DFT energy (no corrections): -3.0550 eV/atom
Relative energy among the computed polymorphs: 0 meV per atom

abc: 4.406 6.608 8.438
angles: 99.64 72.43 74.27
Element x y z (fractional)
I 0.430 0.005 0.843
I 0.542 0.205 0.334
H 0.215 0.665 0.087
H 0.256 0.552 0.099
Bi 0.509 0.701 0.512
Bi 0.999 0.497 0.673


[3]
Density functional theory data (PBE) for a geometry-optimized EuLuTh structure.

Output
Total DFT energy (no corrections): -7.3072 eV/atom
Relative energy among the computed polymorphs: 8 meV per atom
E_form: 0.098 eV/atom

abc: 3.598 3.598 8.189
angles: 102.69 102.69 90.00
Site moments in Bohr magnetons follow the coordinates.
Element x y z (fractional)
Eu 0.998 0.998 0.996  -6.94
Lu 0.677 0.677 0.354  0.00
Th 0.325 0.325 0.650  -0.07


[4]
Density functional theory data (PBE) for a geometry-optimized PdSe2S structure.

Output
Total DFT energy (no corrections): -4.1531 eV/atom
E_form (uncorrected): -0.081 eV per atom

abc: 3.748 9.318 11.270
angles: 142.06 70.24 90.35
Element x y z (fractional)
Pd 0.267 0.792 0.565
Pd 0.789 0.394 0.539
Se 0.013 0.462 0.317
Se 0.455 0.097 0.371
Se 0.043 0.724 0.786
Se 0.600 0.089 0.733
S 0.831 0.710 0.995
S 0.224 0.476 0.108


[5]
Density functional theory data (PBE) for a geometry-optimized VIrPtW structure.

Output
Total DFT energy (no corrections): -9.6491 eV/atom
E_form: -0.406 eV/atom

abc: 3.891 3.848 3.931
angles: 90.00 90.00 90.00
Element x y z (fractional)
V 0.000 0.000 0.000
Ir 0.500 0.000 0.500
Pt 0.000 0.500 0.500
W 0.500 0.500 0.000


[6]
Density functional theory data (PBE) for a geometry-optimized NaHBr2 structure.

Output
Total DFT energy (no corrections): -2.0174 eV/atom
Relative energy among the computed polymorphs: 877 meV per atom

abc: 5.055 5.055 5.055
angles: 60.00 60.00 60.00
Site moments in Bohr magnetons follow the coordinates.
Element x y z (fractional)
Na 0.500 0.500 0.500  0.00
Br 0.250 0.250 0.250  -0.26
Br 0.750 0.750 0.750  -0.26
H 0.000 0.000 0.000  0.31


[7]
Density functional theory data (PBE) for a geometry-optimized Pt3AuO structure.

Output
Total DFT energy (no corrections): -3.1461 eV/atom
Relative energy among the computed polymorphs: 1624 meV per atom
E_form (uncorrected): 2.126 eV per atom

abc: 4.968 4.968 4.968
angles: 90.00 90.00 90.00
Element x y z (fractional)
Au 0.000 0.000 0.000
O 0.500 0.500 0.500
Pt 0.000 0.500 0.000
Pt 0.000 0.000 0.500
Pt 0.500 0.000 0.000


[8]
Density functional theory data (PBE) for a geometry-optimized TbGaCu2Pd4 structure.

Output
Total DFT energy (no corrections): -5.1084 eV/atom
E_form: -0.531 eV/atom

abc: 4.438 4.438 7.915
angles: 73.72 73.72 60.00
Element x y z (fractional)
Tb 0.000 0.000 0.000
Ga 0.500 0.500 0.500
Cu 0.748 0.748 0.757
Cu 0.252 0.252 0.243
Pd 0.390 0.390 0.829
Pd 0.870 0.870 0.391
Pd 0.130 0.130 0.609
Pd 0.610 0.610 0.171


Question: What is the formula in the eighth record?
Answer: TbGaCu2Pd4


Question: total DFT energy (no corrections) of number 8 (TbGaCu2Pd4)?
Answer: -5.1084 eV/atom